1.
AlReAu2 | SCAN | PBEsol geometry

Computed properties:
M_tot ... 0.00 μB/atom

```
data_AlReAu2
_symmetry_space_group_name_H-M 'P 1'
_symmetry_Int_Tables_number 1
_symmetry_space_group_name_Hall 'P 1'
_cell_length_a 3.715
_cell_length_b 4.027
_cell_length_c 4.161
_cell_angle_alpha 90.00
_cell_angle_beta 90.00
_cell_angle_gamma 90.00
loop_
_atom_site_label
_atom_site_type_symbol
_atom_site_fract_x
_atom_site_fract_y
_atom_site_fract_z
Al1 Al 0.000 0.500 0.500
Au1 Au 0.500 0.500 0.000
Au2 Au 0.000 0.000 0.000
Re1 Re 0.500 0.000 0.500
```

=====

2.
AlRe2Au | SCAN | PBEsol geometry

Computed properties:
M_tot ... 0.00 μB/atom

```
data_AlRe2Au
_symmetry_space_group_name_H-M 'P 1'
_symmetry_Int_Tables_number 1
_symmetry_space_group_name_Hall 'P 1'
_cell_length_a 2.823
_cell_length_b 4.093
_cell_length_c 5.261
_cell_angle_alpha 90.00
_cell_angle_beta 90.00
_cell_angle_gamma 90.00
loop_
_atom_site_label
_atom_site_type_symbol
_atom_site_fract_x
_atom_site_fract_y
_atom_site_fract_z
Re1 Re 0.000 0.000 0.774
Au1 Au 0.500 0.500 0.500
Al1 Al 0.500 0.500 0.000
Re2 Re 0.000 0.000 0.226
```

=====

3.
AlReAu2 | SCAN | PBEsol geometry

Computed properties:
M_tot ... 0.00 μB/atom

```
data_AlReAu2
_symmetry_space_group_name_H-M 'P 1'
_symmetry_Int_Tables_number 1
_symmetry_space_group_name_Hall 'P 1'
_cell_length_a 2.802
_cell_length_b 4.259
_cell_length_c 5.407
_cell_angle_alpha 90.00
_cell_angle_beta 104.65
_cell_angle_gamma 90.00
loop_
_atom_site_label
_atom_site_type_symbol
_atom_site_fract_x
_atom_site_fract_y
_atom_site_fract_z
Au1 Au 0.887 0.000 0.743
Re1 Re 0.500 0.500 0.000
Au2 Au 0.113 0.000 0.257
Al1 Al 0.500 0.500 0.500
```

=====

| no. | volume (Å³/f.u.) | VASP energy (eV/f.u.) |
| --- | --- | --- |
| 1 | 62.2 | -216.65 |
| 2 | 60.8 | -218.34 |
| 3 | 62.4 | -216.53 |